This record from Alexandria via LeMat-Bulk describes crystalline KNb2Ru at its relaxed geometry. The functional is PBE-GGA.

Lattice parameters (Å, degrees): 4.7088 4.7088 4.7088 60.00 60.00 60.00
Positions (direct):
K1 0.0000 0.0000 0.0000
Nb1 0.2500 0.2500 0.2500
Nb2 0.7500 0.7500 0.7500
Ru1 0.5000 0.5000 0.5000

Values from the calculation:
As for the magnetic moment: 0.000 μB/atom. The space group is No. 225. As for the crystal system: cubic. For the energy relative to the lowest polymorph listed for this composition, the calculation gives 0 meV per atom.